Entry from the Alexandria database: a geometry-optimized TlTcCl4 structure (PBE).

Unit cell a=6.015 b=6.015 c=6.015 alpha=60.00 beta=60.00 gamma=60.00
Fractional positions:
1 Tl 0.000 0.000 0.000
2 Cl 0.873 0.376 0.376
3 Cl 0.376 0.376 0.873
4 Cl 0.376 0.873 0.376
5 Cl 0.376 0.376 0.376
6 Tc 0.750 0.750 0.750

Calculated values
Its uncorrected formation energy is 0.674 eV/atom. The value obtained for the density is 4.79 g/cm³. As for the polymorph energy (0 for the lowest one): 1.4851 eV per atom. For the energy, the calculation gives -2.68 eV/atom.

Entry from the Alexandria database: a geometry-optimized KGaPt3 structure (PBE).

Unit cell a=4.783 b=4.783 c=4.783 alpha=90.00 beta=90.00 gamma=90.00
Fractional positions:
1 Ga 0.000 0.000 0.000
2 Pt 0.500 0.000 0.000
3 Pt 0.000 0.000 0.500
4 Pt 0.000 0.500 0.000
5 K 0.500 0.500 0.500

Calculated values
The value obtained for the formation energy is 0.198 eV per atom. The value obtained for the density is 10.53 g/cm³. As for the polymorph energy (0 for the lowest one): 0.0000 eV per atom. For the energy, the calculation gives -4.25 eV/atom.

Entry from the Alexandria database: a geometry-optimized Ho6Er3Pu structure (PBE).

Unit cell a=9.675 b=9.675 c=6.779 alpha=44.47 beta=44.47 gamma=60.00
Fractional positions:
1 Ho 0.066 0.401 0.798
2 Ho 0.901 0.575 0.299
3 Ho 0.401 0.735 0.798
4 Ho 0.735 0.066 0.798
5 Ho 0.575 0.226 0.299
6 Ho 0.226 0.901 0.299
7 Er 0.399 0.399 0.802
8 Er 0.654 0.654 0.037
9 Er 0.144 0.144 0.569
10 Pu 0.899 0.899 0.302

Calculated values
The value obtained for the formation energy is 0.249 eV per atom. The value obtained for the density is 9.26 g/cm³. For the energy, the calculation gives -5.30 eV/atom.

Entry from the Alexandria database: a geometry-optimized DyYFePd structure (PBE).

Unit cell a=4.867 b=4.867 c=4.867 alpha=60.00 beta=60.00 gamma=60.00
Fractional positions:
1 Fe 0.000 0.000 0.000
2 Y 0.750 0.750 0.750
3 Pd 0.500 0.500 0.500
4 Dy 0.250 0.250 0.250

Calculated values
The value obtained for the formation energy is -0.302 eV per atom. The value obtained for the density is 8.43 g/cm³. For the energy, the calculation gives -6.48 eV/atom.

Entry from the Alexandria database: a geometry-optimized InOs2Ru structure (PBE).

Unit cell a=4.466 b=4.466 c=4.466 alpha=60.00 beta=60.00 gamma=60.00
Fractional positions:
1 Ru 0.250 0.250 0.250
2 In 0.500 0.500 0.500
3 Os 0.000 0.000 0.000
4 Os 0.750 0.750 0.750

Calculated values
The value obtained for the formation energy is 0.611 eV per atom. The value obtained for the density is 15.72 g/cm³. For the energy, the calculation gives -8.01 eV/atom.

Entry from the Alexandria database: a geometry-optimized La3In7Ag4 structure (PBE).

Unit cell a=4.756 b=9.076 c=9.118 alpha=70.92 beta=74.88 gamma=74.81
Fractional positions:
1 Ag 0.656 0.468 0.221
2 Ag 0.134 0.090 0.642
3 Ag 0.344 0.532 0.779
4 Ag 0.866 0.910 0.358
5 In 0.845 0.385 0.925
6 In 0.155 0.615 0.075
7 In 0.671 0.194 0.465
8 In 0.000 0.000 0.000
9 In 0.329 0.806 0.535
10 In 0.501 0.791 0.208
11 In 0.499 0.209 0.792
12 La 0.690 0.813 0.807
13 La 0.310 0.187 0.193
14 La 0.000 0.500 0.500

Calculated values
The value obtained for the formation energy is -0.375 eV per atom. The value obtained for the density is 7.79 g/cm³. For the energy, the calculation gives -3.62 eV/atom.

Entry from the Alexandria database: a geometry-optimized Hg2HAuI structure (PBE).

Unit cell a=5.650 b=5.650 c=3.728 alpha=90.00 beta=90.00 gamma=90.00
Fractional positions:
1 Hg 0.000 0.500 0.000
2 Hg 0.500 0.000 0.000
3 I 0.500 0.500 0.500
4 Au 0.000 0.000 0.000
5 H 0.000 0.000 0.500

Calculated values
The value obtained for the density is 10.13 g/cm³. For the energy, the calculation gives -1.67 eV/atom.

Entry from the Alexandria database: a geometry-optimized AcPm3Dy7 structure (PBE).

Unit cell a=8.783 b=7.139 c=7.139 alpha=120.00 beta=90.00 gamma=90.00
Fractional positions:
1 Dy 0.446 0.335 0.168
2 Dy 0.122 0.667 0.333
3 Dy 0.446 0.832 0.168
4 Dy 0.116 0.668 0.834
5 Dy 0.446 0.832 0.664
6 Dy 0.116 0.166 0.332
7 Dy 0.116 0.166 0.834
8 Pm 0.787 0.997 0.499
9 Pm 0.787 0.501 0.499
10 Pm 0.787 0.501 0.003
11 Ac 0.445 0.333 0.667

Calculated values
The value obtained for the formation energy is 0.201 eV per atom. The value obtained for the density is 7.71 g/cm³. As for the polymorph energy (0 for the lowest one): 0.0000 eV per atom. For the energy, the calculation gives -4.40 eV/atom.

Entry from the Alexandria database: a geometry-optimized CeNd2Cd3 structure (PBE).

Unit cell a=3.830 b=3.830 c=11.672 alpha=90.00 beta=90.00 gamma=90.00
Fractional positions:
1 Ce 0.500 0.500 0.500
2 Nd 0.500 0.500 0.834
3 Nd 0.500 0.500 0.166
4 Cd 0.000 0.000 0.332
5 Cd 0.000 0.000 0.000
6 Cd 0.000 0.000 0.668

Calculated values
The value obtained for the formation energy is -0.248 eV per atom. The value obtained for the density is 7.43 g/cm³. For the energy, the calculation gives -3.28 eV/atom.

Entry from the Alexandria database: a geometry-optimized La5Tb2Pm3 structure (PBE).

Unit cell a=10.254 b=10.269 c=9.301 alpha=108.63 beta=108.56 gamma=114.95
Fractional positions:
1 La 0.382 0.121 0.755
2 La 0.981 0.731 0.462
3 La 0.874 0.634 0.755
4 La 0.527 0.777 0.553
5 La 0.019 0.269 0.538
6 La 0.618 0.879 0.245
7 La 0.227 0.477 0.955
8 La 0.773 0.523 0.045
9 La 0.473 0.223 0.447
10 La 0.126 0.366 0.245
11 Tb 0.280 0.720 0.754
12 Tb 0.974 0.034 0.754
13 Tb 0.720 0.280 0.246
14 Tb 0.026 0.966 0.246
15 Pm 0.781 0.224 0.750
16 Pm 0.269 0.019 0.037
17 Pm 0.731 0.981 0.963
18 Pm 0.469 0.527 0.750
19 Pm 0.531 0.473 0.250
20 Pm 0.219 0.776 0.250

Calculated values
The value obtained for the formation energy is 0.149 eV per atom. The value obtained for the density is 6.72 g/cm³. For the energy, the calculation gives -4.67 eV/atom.

Entry from the Alexandria database: a geometry-optimized PrSmEuRu structure (PBE).

Unit cell a=5.282 b=5.282 c=5.282 alpha=60.00 beta=60.00 gamma=60.00
Fractional positions:
1 Pr 0.500 0.500 0.500
2 Sm 0.000 0.000 0.000
3 Eu 0.750 0.750 0.750
4 Ru 0.250 0.250 0.250

Calculated values
The value obtained for the formation energy is 0.168 eV per atom. The value obtained for the density is 8.67 g/cm³. For the energy, the calculation gives -7.09 eV/atom.

Entry from the Alexandria database: a geometry-optimized LaYIn6 structure (PBE).

Unit cell a=4.722 b=4.722 c=9.410 alpha=90.00 beta=90.00 gamma=90.00
Fractional positions:
1 In 0.500 0.500 0.000
2 In 0.000 0.500 0.257
3 In 0.500 0.000 0.257
4 In 0.500 0.000 0.743
5 In 0.500 0.500 0.500
6 In 0.000 0.500 0.743
7 Y 0.000 0.000 0.500
8 La 0.000 0.000 0.000

Calculated values
The value obtained for the formation energy is -0.457 eV per atom. The value obtained for the density is 7.26 g/cm³. As for the polymorph energy (0 for the lowest one): 0.0000 eV per atom. For the energy, the calculation gives -3.93 eV/atom.

Entry from the Alexandria database: a geometry-optimized K3Pr2UO6 structure (PBE).

Unit cell a=6.319 b=6.319 c=6.678 alpha=99.09 beta=99.09 gamma=120.01
Fractional positions:
1 O 0.372 0.062 0.186
2 O 0.062 0.372 0.186
3 O 0.628 0.938 0.814
4 O 0.752 0.752 0.186
5 O 0.938 0.628 0.814
6 O 0.248 0.248 0.814
7 U 0.000 0.000 0.000
8 Pr 0.333 0.667 0.000
9 Pr 0.667 0.333 0.000
10 K 0.833 0.167 0.500
11 K 0.167 0.833 0.500
12 K 0.500 0.500 0.500

Calculated values
Its uncorrected formation energy is -2.453 eV/atom. The value obtained for the density is 5.56 g/cm³. For the energy, the calculation gives -6.94 eV/atom.

Entry from the Alexandria database: a geometry-optimized SrAgAu2 structure (PBE).

Unit cell a=3.786 b=3.786 c=6.472 alpha=90.00 beta=90.00 gamma=90.00
Fractional positions:
1 Au 0.000 0.000 0.984
2 Au 0.500 0.500 0.228
3 Ag 0.500 0.500 0.800
4 Sr 0.000 0.000 0.487

Calculated values
The value obtained for the formation energy is -0.312 eV per atom. The value obtained for the density is 10.55 g/cm³. For the energy, the calculation gives -3.08 eV/atom.

Entry from the Alexandria database: a geometry-optimized BaInGe structure (PBE).

Unit cell a=4.627 b=8.147 c=10.321 alpha=90.00 beta=90.00 gamma=90.00
Fractional positions:
1 Ba 0.250 0.257 0.492
2 Ba 0.750 0.743 0.508
3 Ba 0.750 0.757 0.008
4 Ba 0.250 0.243 0.992
5 Ge 0.750 0.414 0.732
6 Ge 0.250 0.586 0.268
7 Ge 0.750 0.086 0.232
8 Ge 0.250 0.914 0.768
9 In 0.750 0.081 0.726
10 In 0.250 0.919 0.274
11 In 0.250 0.581 0.774
12 In 0.750 0.419 0.226

Calculated values
The value obtained for the formation energy is -0.460 eV per atom. The value obtained for the density is 5.54 g/cm³. For the energy, the calculation gives -3.55 eV/atom.

Entry from the Alexandria database: a geometry-optimized Be2Ga2Pd structure (PBE).

Unit cell a=6.092 b=6.092 c=3.536 alpha=90.00 beta=90.00 gamma=90.00
Fractional positions:
1 Pd 0.500 0.500 0.000
2 Pd 0.000 0.000 0.000
3 Be 0.629 0.129 0.000
4 Be 0.129 0.371 0.000
5 Be 0.371 0.871 0.000
6 Be 0.871 0.629 0.000
7 Ga 0.833 0.333 0.500
8 Ga 0.167 0.667 0.500
9 Ga 0.333 0.167 0.500
10 Ga 0.667 0.833 0.500

Calculated values
The value obtained for the formation energy is -0.021 eV per atom. The value obtained for the density is 6.68 g/cm³. For the energy, the calculation gives -3.76 eV/atom.

Entry from the Alexandria database: a geometry-optimized Dy3Ho2Al3 structure (PBE).

Unit cell a=3.660 b=5.145 c=11.212 alpha=103.26 beta=99.39 gamma=90.00
Fractional positions:
1 Al 0.884 0.884 0.767
2 Al 0.116 0.116 0.233
3 Al 0.000 0.500 0.000
4 Dy 0.500 0.000 0.000
5 Dy 0.620 0.620 0.241
6 Dy 0.380 0.380 0.759
7 Ho 0.730 0.230 0.461
8 Ho 0.270 0.770 0.539

Calculated values
The value obtained for the formation energy is -0.300 eV per atom. The value obtained for the density is 7.36 g/cm³. For the energy, the calculation gives -4.57 eV/atom.

Entry from the Alexandria database: a geometry-optimized SrAgIr2 structure (PBE).

Unit cell a=2.926 b=2.926 c=8.700 alpha=90.00 beta=90.00 gamma=90.00
Fractional positions:
1 Ag 0.500 0.500 0.750
2 Ir 0.000 0.000 0.977
3 Ir 0.000 0.000 0.523
4 Sr 0.500 0.500 0.250

Calculated values
The value obtained for the formation energy is 0.549 eV per atom. The value obtained for the density is 12.93 g/cm³. As for the polymorph energy (0 for the lowest one): 0.3593 eV per atom. For the energy, the calculation gives -5.01 eV/atom.

Entry from the Alexandria database: a geometry-optimized BH2Rh2 structure (PBE).

Unit cell a=6.015 b=5.255 c=5.009 alpha=121.63 beta=126.89 gamma=90.00
Fractional positions:
1 H 0.362 0.939 0.723
2 H 0.638 0.061 0.277
3 H 0.138 0.216 0.277
4 H 0.862 0.784 0.723
5 Rh 0.109 0.840 0.218
6 Rh 0.391 0.622 0.782
7 Rh 0.891 0.160 0.782
8 Rh 0.609 0.378 0.218
9 B 0.250 0.500 0.000
10 B 0.750 0.500 0.000

Calculated values
The value obtained for the density is 7.60 g/cm³. As for the polymorph energy (0 for the lowest one): 0.0000 eV per atom. For the energy, the calculation gives -5.65 eV/atom.

Entry from the Alexandria database: a geometry-optimized RbBNO2 structure (PBE).

Unit cell a=4.947 b=4.947 c=2.766 alpha=90.00 beta=90.00 gamma=90.00
Fractional positions:
1 O 0.000 0.500 0.000
2 O 0.500 0.000 0.000
3 Rb 0.500 0.500 0.500
4 N 0.000 0.000 0.500
5 B 0.000 0.000 0.000

Calculated values
Its uncorrected formation energy is 0.178 eV/atom. The value obtained for the density is 3.49 g/cm³. For the energy, the calculation gives -5.00 eV/atom.

Entry from the Alexandria database: a geometry-optimized ThAl2V structure (PBE).

Unit cell a=3.335 b=3.335 c=7.197 alpha=90.00 beta=90.00 gamma=90.00
Fractional positions:
1 Al 0.000 0.000 0.190
2 Al 0.000 0.000 0.810
3 Th 0.500 0.500 0.500
4 V 0.500 0.500 0.000

Calculated values
The value obtained for the formation energy is -0.115 eV per atom. The value obtained for the density is 6.99 g/cm³. As for the polymorph energy (0 for the lowest one): 0.0000 eV per atom. For the energy, the calculation gives -6.12 eV/atom.

Entry from the Alexandria database: a geometry-optimized CaHgBr structure (PBE).

Unit cell a=9.499 b=3.895 c=10.711 alpha=90.00 beta=115.27 gamma=90.00
Fractional positions:
1 Ca 0.386 0.000 0.675
2 Ca 0.962 0.000 0.764
3 Ca 0.386 0.500 0.175
4 Ca 0.962 0.500 0.264
5 Br 0.113 0.000 0.124
6 Br 0.113 0.500 0.624
7 Br 0.318 0.500 0.432
8 Br 0.318 0.000 0.932
9 Hg 0.693 0.000 0.280
10 Hg 0.693 0.500 0.780
11 Hg 0.716 0.500 0.503
12 Hg 0.716 0.000 0.003

Calculated values
Its uncorrected formation energy is -1.016 eV/atom. The value obtained for the density is 5.94 g/cm³. As for the polymorph energy (0 for the lowest one): 0.1168 eV per atom. For the energy, the calculation gives -2.34 eV/atom.

Entry from the Alexandria database: a geometry-optimized Rb4La3NdS8 structure (PBE).

Unit cell a=8.598 b=9.160 c=8.598 alpha=118.00 beta=120.00 gamma=90.00
Fractional positions:
1 Rb 0.500 0.000 0.000
2 Rb 0.000 0.000 0.000
3 Rb 0.500 0.000 0.500
4 Rb 0.000 0.000 0.500
5 S 0.733 0.698 0.465
6 S 0.267 0.302 0.535
7 S 0.231 0.697 0.967
8 S 0.769 0.303 0.539
9 S 0.231 0.697 0.461
10 S 0.264 0.303 0.033
11 S 0.736 0.697 0.967
12 S 0.769 0.303 0.033
13 La 0.500 0.500 0.000
14 La 0.000 0.500 0.500
15 La 0.500 0.500 0.500
16 Nd 0.000 0.500 0.000

Calculated values
Its uncorrected formation energy is -1.880 eV/atom. The value obtained for the density is 3.91 g/cm³. For the energy, the calculation gives -5.41 eV/atom.

Entry from the Alexandria database: a geometry-optimized AcGa4PdAu2 structure (PBE).

Unit cell a=4.445 b=4.445 c=9.769 alpha=76.85 beta=76.85 gamma=60.00
Fractional positions:
1 Ga 0.865 0.865 0.404
2 Ga 0.595 0.595 0.214
3 Ga 0.135 0.135 0.596
4 Ga 0.405 0.405 0.786
5 Au 0.243 0.243 0.271
6 Au 0.757 0.757 0.729
7 Pd 0.500 0.500 0.500
8 Ac 0.000 0.000 0.000

Calculated values
The value obtained for the formation energy is -0.489 eV per atom. The value obtained for the density is 10.36 g/cm³. For the energy, the calculation gives -3.98 eV/atom.